1.
# Zr2AsRu

A PBEsol-optimized structure of Zr2AsRu (SCAN, Alexandria).

## Properties
**Total DFT energy (no corrections)**: -29.789 eV per atom
**E_form**: -0.69 eV per atom
**M_tot**: 0.00 μB/f.u.
**SG**: Cmmm (65)
**Density**: 8558 kg/m3

Cell lengths 4.6167, 4.6167, 3.3430 Å; angles 90.00, 90.00, 102.55 degrees
Fractional coordinates of all 4 atoms:
Zr: 0.0000 0.5000 0.0000
Zr: 0.5000 0.0000 0.0000
As: 0.0000 0.0000 0.5000
Ru: 0.5000 0.5000 0.5000

2.
# AgOs2O6

A PBEsol-optimized structure of AgOs2O6 (SCAN, Alexandria).

## Properties
**Total DFT energy (no corrections)**: -24.378 eV per atom
**M_tot**: 0.00 μB/f.u.
**SG**: Ima2 (46)
**ΔE_f (raw)**: -0.77 eV per atom
**Density**: 7538 kg/m3

Cell lengths 7.1315, 7.1315, 7.1315 Å; angles 119.86, 90.44, 119.63 degrees
Fractional coordinates of all 18 atoms:
Ag: 0.2117 0.2500 0.4617
Ag: 0.7883 0.7500 0.5383
Os: 0.1921 0.6900 0.0021
Os: 0.6878 0.1900 0.9979
Os: 0.6979 0.1979 0.5000
Os: 0.6979 0.6979 0.0000
O: 0.0011 0.4439 0.0572
O: 0.0250 0.4460 0.6726
O: 0.0250 0.8523 0.0790
O: 0.3867 0.9439 0.9428
O: 0.3900 0.5803 0.9414
O: 0.3900 0.9486 0.3097
O: 0.6308 0.4559 0.6749
O: 0.6389 0.0803 0.6903
O: 0.6389 0.4486 0.0586
O: 0.7733 0.3523 0.3274
O: 0.7733 0.9460 0.9210
O: 0.7811 0.9559 0.3251

3.
# GaBOs2Pb

A PBEsol-optimized structure of GaBOs2Pb (SCAN, Alexandria).

## Properties
**Total DFT energy (no corrections)**: -45.334 eV per atom
**E_form**: 3.33 eV per atom
**M_tot**: 2.09 μB/f.u.
**SG**: P4/mmm (123)
**Density**: 8651 kg/m3

Cell lengths 4.9878, 4.9878, 5.1551 Å; angles 90.00, 90.00, 90.00 degrees
Fractional coordinates of all 5 atoms:
Ga: 0.0000 0.0000 0.0000
B: 0.5000 0.5000 0.0000
Os: 0.0000 0.5000 0.5000
Os: 0.5000 0.0000 0.5000
Pb: 0.0000 0.0000 0.5000

4.
# Mn2MoSe

A PBEsol-optimized structure of Mn2MoSe (SCAN, Alexandria).

## Properties
**Total DFT energy (no corrections)**: -22.705 eV per atom
**M_tot**: 5.21 μB/f.u.
**SG**: P4/mmm (123)
**ΔE_f (raw)**: 0.16 eV per atom
**Density**: 8838 kg/m3

Cell lengths 3.6820, 3.6820, 3.9466 Å; angles 90.00, 90.00, 90.00 degrees
Fractional coordinates of all 4 atoms:
Mn: 0.0000 0.5000 0.0000
Mn: 0.5000 0.0000 0.0000
Mo: 0.0000 0.0000 0.5000
Se: 0.5000 0.5000 0.5000

5.
# LiY2SbRu

A PBEsol-optimized structure of LiY2SbRu (SCAN, Alexandria).

## Properties
**Total DFT energy (no corrections)**: -25.706 eV per atom
**M_tot**: 0.37 μB/f.u.
**SG**: P4/mmm (123)
**ΔE_f (raw)**: 0.33 eV per atom
**Density**: 6315 kg/m3

Cell lengths 4.9577, 4.9577, 4.3606 Å; angles 90.00, 90.00, 90.00 degrees
Fractional coordinates of all 5 atoms:
Li: 0.0000 0.0000 0.0000
Y: 0.0000 0.5000 0.0000
Y: 0.5000 0.0000 0.0000
Sb: 0.0000 0.0000 0.5000
Ru: 0.5000 0.5000 0.5000

6.
# NbTl2Ge

A PBEsol-optimized structure of NbTl2Ge (SCAN, Alexandria).

## Properties
**Total DFT energy (no corrections)**: -48.551 eV per atom
**E_form**: 0.68 eV per atom
**M_tot**: 2.84 μB/f.u.
**SG**: Fm-3m (225)
**Density**: 10729 kg/m3

Cell lengths 5.0094, 5.0094, 5.0094 Å; angles 60.00, 60.00, 60.00 degrees
Fractional coordinates of all 4 atoms:
Nb: 0.0000 0.0000 0.0000
Tl: 0.2500 0.2500 0.2500
Tl: 0.7500 0.7500 0.7500
Ge: 0.5000 0.5000 0.5000

7.
# LaAsPdSe2

A PBEsol-optimized structure of LaAsPdSe2 (SCAN, Alexandria).

## Properties
**Total DFT energy (no corrections)**: -26.805 eV per atom
**M_tot**: 2.55 μB/f.u.
**SG**: P4/mmm (123)
**ΔE_f (raw)**: 0.44 eV per atom
**Density**: 4547 kg/m3

Cell lengths 5.5740, 5.5740, 5.6208 Å; angles 90.00, 90.00, 90.00 degrees
Fractional coordinates of all 5 atoms:
La: 0.0000 0.0000 0.0000
As: 0.0000 0.0000 0.5000
Pd: 0.5000 0.5000 0.5000
Se: 0.0000 0.5000 0.0000
Se: 0.5000 0.0000 0.0000

8.
# Ba2CaHg

A PBEsol-optimized structure of Ba2CaHg (SCAN, Alexandria).

## Properties
**Total DFT energy (no corrections)**: -39.525 eV per atom
**E_form**: -0.29 eV per atom
**M_tot**: 0.01 μB/f.u.
**SG**: Amm2 (38)
**Density**: 4893 kg/m3
**Energy above the most stable polymorph in this dataset**: 0.0528 eV per atom

Cell lengths 4.1989, 7.7555, 7.7555 Å; angles 43.83, 90.00, 90.00 degrees
Fractional coordinates of all 4 atoms:
Ba: 0.0000 0.0000 0.0000
Ba: 0.5000 0.3105 0.3105
Ca: 0.0000 0.6917 0.6917
Hg: 0.5000 0.5400 0.5400

9.
# Ba2Zn7F18

A PBEsol-optimized structure of Ba2Zn7F18 (SCAN, Alexandria).

## Properties
**Total DFT energy (no corrections)**: -11.678 eV per atom
**M_tot**: 0.00 μB/f.u.
**SG**: P-1 (2)
**ΔE_f (raw)**: -2.88 eV per atom
**Density**: 5223 kg/m3

Cell lengths 7.0164, 7.3071, 7.4854 Å; angles 94.19, 93.09, 116.28 degrees
Fractional coordinates of all 27 atoms:
Ba: 0.1851 0.3110 0.3687
Ba: 0.8149 0.6890 0.6313
Zn: 0.1081 0.7303 0.1230
Zn: 0.3081 0.1291 0.8206
Zn: 0.3205 0.6199 0.8060
Zn: 0.5000 0.0000 0.5000
Zn: 0.6795 0.3801 0.1940
Zn: 0.6919 0.8709 0.1794
Zn: 0.8919 0.2697 0.8770
F: 0.0008 0.9291 0.1863
F: 0.0198 0.4401 0.6750
F: 0.1811 0.4878 0.0282
F: 0.1987 0.8226 0.8764
F: 0.2156 0.9903 0.5553
F: 0.3875 0.2282 0.0762
F: 0.3990 0.3956 0.7135
F: 0.4084 0.8746 0.2364
F: 0.4215 0.7173 0.5696
F: 0.5785 0.2827 0.4304
F: 0.5916 0.1254 0.7636
F: 0.6010 0.6044 0.2865
F: 0.6125 0.7718 0.9238
F: 0.7844 0.0097 0.4447
F: 0.8013 0.1774 0.1236
F: 0.8189 0.5122 0.9718
F: 0.9802 0.5599 0.3250
F: 0.9992 0.0709 0.8137

10.
# BaLaPt4

A PBEsol-optimized structure of BaLaPt4 (SCAN, Alexandria).

## Properties
**Total DFT energy (no corrections)**: -61.571 eV per atom
**E_form**: -1.00 eV per atom
**M_tot**: 0.00 μB/f.u.
**SG**: F-43m (216)
**Density**: 14657 kg/m3

Cell lengths 5.5318, 5.5318, 5.5318 Å; angles 60.00, 60.00, 60.00 degrees
Fractional coordinates of all 6 atoms:
Ba: 0.0000 0.0000 0.0000
La: 0.2500 0.2500 0.2500
Pt: 0.1258 0.6247 0.6247
Pt: 0.6247 0.1258 0.6247
Pt: 0.6247 0.6247 0.1258
Pt: 0.6247 0.6247 0.6247

11.
# BaCaHfCu2

A PBEsol-optimized structure of BaCaHfCu2 (SCAN, Alexandria).

## Properties
**Total DFT energy (no corrections)**: -27.754 eV per atom
**E_form**: 0.70 eV per atom
**M_tot**: 0.00 μB/f.u.
**SG**: P4/mmm (123)
**Density**: 5733 kg/m3

Cell lengths 5.0418, 5.0418, 5.5034 Å; angles 90.00, 90.00, 90.00 degrees
Fractional coordinates of all 5 atoms:
Ba: 0.0000 0.0000 0.0000
Ca: 0.5000 0.5000 0.0000
Hf: 0.5000 0.5000 0.5000
Cu: 0.0000 0.5000 0.5000
Cu: 0.5000 0.0000 0.5000

12.
# Sr3Hg

A PBEsol-optimized structure of Sr3Hg (SCAN, Alexandria).

## Properties
**Total DFT energy (no corrections)**: -34.035 eV per atom
**E_form**: -0.29 eV per atom
**M_tot**: 0.17 μB/f.u.
**SG**: P-6m2 (187)
**Density**: 4426 kg/m3
**Energy above the most stable polymorph in this dataset**: 0.1007 eV per atom

Cell lengths 4.2084, 4.2084, 11.3374 Å; angles 90.00, 90.00, 120.00 degrees
Fractional coordinates of all 4 atoms:
Sr: 0.0000 0.0000 0.0000
Sr: 0.3333 0.6667 0.3080
Sr: 0.3333 0.6667 0.6920
Hg: 0.0000 0.0000 0.5000